Material: BiIrS2
Method: DFT, PBE-GGA
State: relaxed

Geometry as extended XYZ:
```
8
Lattice="3.5354 0.0000 0.0000 0.0000 5.9183 0.0000 0.0000 0.0000 8.7053" Properties=species:S:1:pos:R:3 pbc="T T T"
Bi 0.0000 0.0000 0.0000
Bi 1.7677 2.9592 4.3526
Ir 0.0000 2.9592 0.0000
Ir 1.7677 0.0000 4.3526
S 0.0000 0.0000 2.8786
S 0.0000 0.0000 5.8266
S 1.7677 2.9592 1.4740
S 1.7677 2.9592 7.2313
```

## Properties
- E_tot (eV per atom) = -5.384
- ΔE_f (raw) (eV per atom) = -0.1351
- crystal system = orthorhombic